No. 1
{"formula": "Li2AlBr", "functional": "GGA-PBE", "state": "relaxed", "lattice_angstrom": [[-4.330, -4.359, 2.094], [0.447, -6.418, 0.864], [2.759, 5.783, 1.034]], "species": ["Al", "Br", "Li", "Li"], "fractional_positions": [[0.500, 0.500, 0.000], [0.750, 0.250, 0.500], [0.000, 0.000, 0.000], [0.250, 0.750, 0.500]], "spacegroup": "I-4m2", "raw_formation_energy_ev_per_atom": -0.365}

***

No. 2
{"formula": "LiAlBr2", "functional": "GGA-PBE", "state": "relaxed", "lattice_angstrom": [[-5.201, 1.175, 3.652], [-3.612, -2.239, 4.869], [5.797, 3.001, 0.847]], "species": ["Al", "Br", "Br", "Li"], "fractional_positions": [[0.245, 0.245, 0.065], [0.154, 0.154, 0.335], [0.574, 0.574, 0.773], [0.527, 0.527, 0.327]], "spacegroup": "Cm", "raw_formation_energy_ev_per_atom": -0.820}

***

No. 3
{"formula": "LiAl2Br", "functional": "GGA-PBE", "state": "relaxed", "lattice_angstrom": [[-3.029, -1.326, 3.939], [-1.379, 3.523, 3.483], [-4.861, 1.670, 0.182]], "species": ["Al", "Al", "Br", "Li"], "fractional_positions": [[0.250, 0.250, 0.250], [0.750, 0.750, 0.750], [0.500, 0.500, 0.500], [0.000, 0.000, 0.000]], "spacegroup": "Fm-3m", "raw_formation_energy_ev_per_atom": 0.370}

***

No. 4
{"formula": "NaLiAl2Br8", "functional": "GGA-PBE", "state": "relaxed", "lattice_angstrom": [[-1.175, 6.484, 1.881], [0.977, -4.827, 4.766], [9.407, 1.750, -0.155]], "species": ["Na", "Li", "Al", "Al", "Br", "Br", "Br", "Br", "Br", "Br", "Br", "Br"], "fractional_positions": [[0.000, 0.000, 0.000], [0.000, 0.000, 0.500], [0.667, 0.333, 0.249], [0.333, 0.667, 0.751], [0.333, 0.667, 0.994], [0.329, 0.308, 0.320], [0.692, 0.021, 0.320], [0.667, 0.333, 0.006], [0.308, 0.979, 0.680], [0.671, 0.692, 0.680], [0.021, 0.329, 0.680], [0.979, 0.671, 0.320]], "spacegroup": "P-3", "raw_formation_energy_ev_per_atom": -1.229}

***

No. 5
{"formula": "LiNbAlBr2", "functional": "GGA-PBE", "state": "relaxed", "lattice_angstrom": [[-1.887, -4.707, 1.817], [4.150, -2.510, -2.193], [2.796, 0.639, 4.560]], "species": ["Nb", "Al", "Br", "Br", "Li"], "fractional_positions": [[0.000, 0.500, 0.000], [0.000, 0.000, 0.000], [0.000, 0.000, 0.500], [0.500, 0.000, 0.000], [0.500, 0.500, 0.500]], "spacegroup": "P4/mmm", "raw_formation_energy_ev_per_atom": 0.531}

***

No. 6
{"formula": "LiAl2BrO6", "functional": "GGA-PBE", "state": "relaxed", "lattice_angstrom": [[-1.513, -0.796, 4.873], [-2.150, -2.995, -3.616], [7.173, -6.548, 1.157]], "species": ["Li", "Li", "Al", "Al", "Al", "Al", "Br", "Br", "O", "O", "O", "O", "O", "O", "O", "O", "O", "O", "O", "O"], "fractional_positions": [[0.000, 0.000, 0.500], [0.000, 0.000, 0.000], [0.693, 0.307, 0.500], [0.307, 0.693, 0.500], [0.307, 0.693, 0.000], [0.693, 0.307, 0.000], [0.822, 0.822, 0.250], [0.178, 0.178, 0.750], [0.362, 0.015, 0.899], [0.015, 0.362, 0.899], [0.577, 0.577, 0.931], [0.638, 0.985, 0.101], [0.985, 0.638, 0.101], [0.423, 0.423, 0.069], [0.638, 0.985, 0.399], [0.985, 0.638, 0.399], [0.423, 0.423, 0.431], [0.362, 0.015, 0.601], [0.015, 0.362, 0.601], [0.577, 0.577, 0.569]], "spacegroup": "Cmcm", "raw_formation_energy_ev_per_atom": -1.467}

***

No. 7
{"formula": "LiAl2BrO6", "functional": "GGA-PBE", "state": "relaxed", "lattice_angstrom": [[2.832, -4.904, 0.000], [2.832, 4.904, 0.000], [0.000, 0.000, 10.288]], "species": ["Li", "Li", "Al", "Al", "Al", "Al", "Br", "Br", "O", "O", "O", "O", "O", "O", "O", "O", "O", "O", "O", "O"], "fractional_positions": [[0.000, 0.000, 0.000], [0.000, 0.000, 0.500], [0.667, 0.333, 0.000], [0.333, 0.667, 0.000], [0.333, 0.667, 0.500], [0.667, 0.333, 0.500], [0.000, 0.000, 0.750], [0.000, 0.000, 0.250], [0.416, 0.000, 0.430], [0.000, 0.416, 0.430], [0.584, 0.584, 0.430], [0.584, 0.000, 0.570], [0.000, 0.584, 0.570], [0.416, 0.416, 0.570], [0.584, 0.000, 0.930], [0.000, 0.584, 0.930], [0.416, 0.416, 0.930], [0.416, 0.000, 0.070], [0.000, 0.416, 0.070], [0.584, 0.584, 0.070]], "spacegroup": "P6_3/mcm", "raw_formation_energy_ev_per_atom": -1.330}

***

No. 8
{"formula": "Rb2LiAlBr6", "functional": "GGA-PBE", "state": "relaxed", "lattice_angstrom": [[6.529, 0.000, 0.000], [0.000, 7.546, 0.000], [0.000, -3.773, 6.535]], "species": ["Rb", "Rb", "Li", "Al", "Br", "Br", "Br", "Br", "Br", "Br"], "fractional_positions": [[0.211, 0.333, 0.667], [0.789, 0.667, 0.333], [0.500, 0.000, 0.000], [0.000, 0.000, 0.000], [0.772, 0.157, 0.314], [0.772, 0.157, 0.843], [0.772, 0.686, 0.843], [0.228, 0.843, 0.157], [0.228, 0.314, 0.157], [0.228, 0.843, 0.686]], "spacegroup": "P-3m1", "raw_formation_energy_ev_per_atom": -1.465}

***

Number 1: E_tot -2.68 eV/atom. Number 2: E_tot -3.07 eV/atom. Number 3: E_tot -2.40 eV/atom. Number 4: E_tot -3.24 eV/atom. Number 5: E_tot -3.28 eV/atom. Number 6: E_tot -5.55 eV/atom. Number 7: E_tot -5.41 eV/atom. Number 8: E_tot -3.23 eV/atom.